Record 1
First-principles (GGA+U) data for an optimized crystal structure of PmCd2MoO6, as listed in Alexandria.

As for the space-group type: P2_1/c, No. 14. The energy is -6.172 eV/atom.

Cell and atoms, written as POSCAR:
```
PmCd2MoO6
1.0
5.718 0.000 -0.014
0.000 5.767 0.000
0.029 0.000 8.320
Pm Cd Mo O
2 4 2 12
Direct
0.500 0.000 0.000
0.000 0.500 0.500
0.996 0.964 0.256
0.496 0.537 0.756
0.004 0.036 0.744
0.504 0.463 0.244
0.500 0.000 0.500
0.000 0.500 0.000
0.304 0.661 0.055
0.804 0.839 0.555
0.696 0.339 0.945
0.196 0.161 0.445
0.353 0.708 0.435
0.853 0.792 0.935
0.647 0.292 0.565
0.147 0.208 0.065
0.890 0.575 0.231
0.390 0.925 0.731
0.110 0.425 0.769
0.610 0.075 0.269
```

***

Record 2
First-principles (GGA+U) data for an optimized crystal structure of Pm2CdMoO6, as listed in Alexandria.

As for the space-group type: P4mm, No. 99. The energy is -6.903 eV/atom.

Cell and atoms, written as POSCAR:
```
Pm2CdMoO6
1.0
5.382 0.000 0.000
0.000 5.417 0.000
0.000 0.000 5.417
Pm Cd Mo O
2 1 1 6
Direct
0.986 0.500 0.000
0.986 0.000 0.500
0.543 0.500 0.500
0.570 0.000 0.000
0.747 0.237 0.237
0.747 0.237 0.763
0.147 0.500 0.500
0.226 0.000 0.000
0.747 0.763 0.763
0.747 0.763 0.237
```

***

Record 3
First-principles (GGA+U) data for an optimized crystal structure of PmCdMo2O8, as listed in Alexandria.

As for the space-group type: I-4, No. 82. The energy is -6.909 eV/atom.

Cell and atoms, written as POSCAR:
```
PmCdMo2O8
1.0
-2.234 -2.549 4.072
2.021 -4.572 -1.753
4.815 4.441 1.974
Pm Cd Mo O
1 1 2 8
Direct
0.750 0.250 0.500
0.000 0.000 0.000
0.500 0.500 0.000
0.250 0.750 0.500
0.752 0.840 0.170
0.418 0.330 0.170
0.572 0.667 0.666
0.095 0.999 0.666
0.001 0.428 0.334
0.333 0.905 0.334
0.160 0.582 0.830
0.670 0.248 0.830
```

***

Record 4
First-principles (GGA+U) data for an optimized crystal structure of PrCdMoO6, as listed in Alexandria.

As for the space-group type: P312, No. 149. As for the density of states at the Fermi level: 0.52 states/eV/atom. The energy is -6.415 eV/atom.

Cell and atoms, written as POSCAR:
```
PrCdMoO6
1.0
-1.522 3.241 2.955
-5.371 -0.811 -1.877
1.998 -3.089 4.416
Pr Cd Mo O
1 1 1 6
Direct
0.500 0.667 0.333
0.000 0.333 0.667
0.500 0.000 0.000
0.730 0.710 0.722
0.730 0.278 0.988
0.730 0.012 0.290
0.270 0.278 0.290
0.270 0.710 0.988
0.270 0.012 0.722
```

***

Record 5
First-principles (GGA+U) data for an optimized crystal structure of Rb2Cd2Mo3O12, as listed in Alexandria.

As for the space-group type: P2_13, No. 198. As for the density of states at the Fermi level: 0.00 states/eV/atom. The energy is -6.079 eV/atom.

Cell and atoms, written as POSCAR:
```
Rb2Cd2Mo3O12
1.0
-6.980 6.522 6.461
5.585 -3.425 9.491
7.286 8.873 -1.086
Rb Cd Mo O
8 8 12 48
Direct
0.061 0.061 0.061
0.439 0.939 0.561
0.939 0.561 0.439
0.561 0.439 0.939
0.828 0.828 0.828
0.672 0.172 0.328
0.172 0.328 0.672
0.328 0.672 0.172
0.335 0.335 0.335
0.165 0.665 0.835
0.665 0.835 0.165
0.835 0.165 0.665
0.605 0.605 0.605
0.895 0.395 0.105
0.395 0.105 0.895
0.105 0.895 0.395
0.023 0.212 0.377
0.477 0.788 0.877
0.977 0.712 0.123
0.377 0.023 0.212
0.523 0.288 0.623
0.877 0.477 0.788
0.123 0.977 0.712
0.623 0.523 0.288
0.212 0.377 0.023
0.712 0.123 0.977
0.288 0.623 0.523
0.788 0.877 0.477
0.024 0.065 0.322
0.476 0.935 0.822
0.976 0.565 0.178
0.322 0.024 0.065
0.524 0.435 0.678
0.822 0.476 0.935
0.178 0.976 0.565
0.678 0.524 0.435
0.065 0.322 0.024
0.565 0.178 0.976
0.435 0.678 0.524
0.935 0.822 0.476
0.277 0.491 0.443
0.223 0.509 0.943
0.723 0.991 0.057
0.443 0.277 0.491
0.777 0.009 0.557
0.943 0.223 0.509
0.057 0.723 0.991
0.557 0.777 0.009
0.491 0.443 0.277
0.991 0.057 0.723
0.009 0.557 0.777
0.509 0.943 0.223
0.048 0.804 0.226
0.452 0.196 0.726
0.952 0.304 0.274
0.226 0.048 0.804
0.548 0.696 0.774
0.726 0.452 0.196
0.274 0.952 0.304
0.774 0.548 0.696
0.804 0.226 0.048
0.304 0.274 0.952
0.696 0.774 0.548
0.196 0.726 0.452
0.168 0.261 0.408
0.332 0.739 0.908
0.832 0.761 0.092
0.408 0.168 0.261
0.668 0.239 0.592
0.908 0.332 0.739
0.092 0.832 0.761
0.592 0.668 0.239
0.261 0.408 0.168
0.761 0.092 0.832
0.239 0.592 0.668
0.739 0.908 0.332
```

***

Record 6
First-principles (GGA+U) data for an optimized crystal structure of Rb2CdMoO6, as listed in Alexandria.

As for the space-group type: P-3m1, No. 164. As for the density of states at the Fermi level: 0.49 states/eV/atom. The energy is -5.108 eV/atom.

Cell and atoms, written as POSCAR:
```
Rb2CdMoO6
1.0
5.780 0.000 0.000
0.000 6.432 0.000
0.000 -3.216 5.570
Rb Cd Mo O
2 1 1 6
Direct
0.169 0.333 0.667
0.831 0.667 0.333
0.500 0.000 0.000
0.000 0.000 0.000
0.798 0.140 0.280
0.798 0.140 0.860
0.798 0.720 0.860
0.202 0.860 0.140
0.202 0.280 0.140
0.202 0.860 0.720
```

***

Record 7
First-principles (GGA+U) data for an optimized crystal structure of Rb2CdMoO4, as listed in Alexandria.

As for the space-group type: I-4, No. 82. As for the density of states at the Fermi level: 0.00 states/eV/atom. The energy is -5.211 eV/atom.

Cell and atoms, written as POSCAR:
```
Rb2CdMoO4
1.0
6.519 0.396 0.606
-2.420 6.066 -0.606
-2.420 -2.996 5.309
Rb Cd Mo O
2 1 1 4
Direct
0.500 0.750 0.250
0.000 0.000 0.000
0.500 0.250 0.750
0.000 0.500 0.500
0.740 0.547 0.484
0.938 0.193 0.453
0.062 0.516 0.256
0.260 0.744 0.807
```

***

Record 8
First-principles (GGA+U) data for an optimized crystal structure of Cd2MoRuO6, as listed in Alexandria.

As for the space-group type: P4mm, No. 99. As for the density of states at the Fermi level: 0.40 states/eV/atom. The energy is -5.739 eV/atom.

Cell and atoms, written as POSCAR:
```
Cd2MoRuO6
1.0
-1.553 -2.268 3.046
0.561 -4.545 -3.099
5.088 -0.757 2.031
Cd Mo Ru O
2 1 1 6
Direct
0.142 0.500 0.000
0.142 0.000 0.500
0.645 0.000 0.000
0.645 0.500 0.500
0.646 0.251 0.251
0.646 0.251 0.749
0.145 0.500 0.500
0.145 0.000 0.000
0.646 0.749 0.749
0.646 0.749 0.251
```